Model 1:
Material: TbTh2Ni2
Method: DFT, PBE
State: optimized geometry

```
data_TbTh2Ni2
_chemical_formula_sum 'Tb1 Th2 Ni2'
_space_group_name_H-M_alt 'P -1'
_space_group_IT_number 2
_cell_length_a 3.685
_cell_length_b 6.076
_cell_length_c 6.243
_cell_angle_alpha 64.65
_cell_angle_beta 72.91
_cell_angle_gamma 72.35
loop_
_space_group_symop_operation_xyz
'x,y,z'
'-x,-y,-z'
loop_
_atom_site_label
_atom_site_type_symbol
_atom_site_fract_x
_atom_site_fract_y
_atom_site_fract_z
_atom_site_occupancy
Tb1 Tb 0.000 0.000 0.000 1
Th1 Th 0.190 0.321 0.299 1
Ni1 Ni 0.482 0.708 0.328 1
```


Model 2:
Material: TbTh2Ni2
Method: DFT, PBE
State: optimized geometry

```
data_TbTh2Ni2
_chemical_formula_sum 'Tb2 Th4 Ni4'
_space_group_name_H-M_alt 'P 4/m b m'
_space_group_IT_number 127
_space_group_name_Hall '-P 4 2ab'
_cell_length_a 7.834
_cell_length_b 7.834
_cell_length_c 3.748
_cell_angle_alpha 90.00
_cell_angle_beta 90.00
_cell_angle_gamma 90.00
loop_
_atom_site_label
_atom_site_type_symbol
_atom_site_fract_x
_atom_site_fract_y
_atom_site_fract_z
_atom_site_occupancy
Tb1 Tb 0.000 0.000 0.000 1
Th1 Th 0.166 0.334 0.500 1
Ni1 Ni 0.123 0.623 0.000 1
```


Among the structures above, stability is smallest for model 1.